LuScPtAu PBE optimized geometry; electronic total energy = -24.340 eV per cell; calculated formation energy = -1.042 eV/atom
1.0
4.830 0.000 0.000
2.415 4.183 0.000
2.415 1.394 3.943
Pt Lu Sc Au
1 1 1 1
Direct
0.750 0.750 0.750
0.000 0.000 0.000
0.500 0.500 0.500
0.250 0.250 0.250

=====

Ac2Ga3Rh4Au PBE optimized geometry; electronic total energy = -57.106 eV per cell; calculated formation energy = -0.712 eV/atom
1.0
4.369 0.000 0.000
0.000 4.369 0.000
0.000 0.000 10.648
Rh Ac Ga Au
4 2 3 1
Direct
0.500 0.000 0.650
0.000 0.000 0.000
0.000 0.500 0.350
0.500 0.500 0.000
0.500 0.000 0.245
0.000 0.500 0.755
0.000 0.000 0.500
0.000 0.500 0.115
0.500 0.000 0.885
0.500 0.500 0.500

=====

BaAsH2 PBE optimized geometry; electronic total energy = -29.270 eV per cell; energy above the most stable polymorph in this dataset = 0 meV per atom
1.0
5.108 0.000 0.000
0.000 4.443 0.000
0.000 0.000 6.837
Ba H As
2 4 2
Direct
0.000 0.752 0.981
0.500 0.248 0.481
0.500 0.525 0.829
0.000 0.475 0.633
0.500 0.525 0.133
0.000 0.475 0.329
0.000 0.766 0.481
0.500 0.234 0.981

=====

RePOs2Pd PBE optimized geometry; electronic total energy = -30.872 eV per cell; calculated formation energy = 2.928 eV/atom
1.0
-2.853 -3.781 -0.292
0.674 -0.154 -4.595
3.729 -2.863 0.643
Pd Os Re P
1 2 1 1
Direct
0.000 0.000 0.000
0.500 0.000 0.000
0.000 0.000 0.500
0.000 0.500 0.000
0.500 0.500 0.500

=====

Y2CoRh PBE optimized geometry; electronic total energy = -28.381 eV per cell; calculated formation energy = -0.249 eV/atom
1.0
-5.143 -0.658 -2.696
-4.758 -2.096 2.671
4.230 3.962 0.757
Rh Y Co
1 2 1
Direct
0.250 0.750 0.500
0.000 0.000 0.000
0.750 0.250 0.500
0.500 0.500 0.000

=====

SrAg4Sn PBE optimized geometry; electronic total energy = -18.537 eV per cell; calculated formation energy = -0.241 eV/atom
1.0
5.731 0.000 0.000
2.866 4.964 0.000
2.866 1.655 4.680
Sn Ag Sr
1 4 1
Direct
0.000 0.000 0.000
0.625 0.625 0.125
0.625 0.625 0.625
0.625 0.125 0.625
0.125 0.625 0.625
0.250 0.250 0.250